--- 1 ---
A plane-wave DFT calculation with PBE was carried out for a relaxed LiAs2Pd6 crystal.

a = 4.142 Å, b = 4.142 Å, c = 8.858 Å
α = 90.00°, β = 90.00°, γ = 90.00°
Space group P4/mmm (No. 123)
Asymmetric unit:
Li1 0.000 0.000 0.000 (multiplicity 1)
As1 0.500 0.500 0.139 (multiplicity 2)
Pd1 0.000 0.000 0.500 (multiplicity 1)
Pd2 0.000 0.500 0.283 (multiplicity 4)
Pd3 0.500 0.500 0.500 (multiplicity 1)

--- 2 ---
A plane-wave DFT calculation with PBE was carried out for a relaxed LiAs2Pd6 crystal.

a = 8.616 Å, b = 4.355 Å, c = 7.973 Å
α = 90.00°, β = 113.19°, γ = 90.00°
Space group C2/m (No. 12)
Asymmetric unit:
Li1 0.000 0.000 0.000 (multiplicity 2)
As1 0.162 0.500 0.260 (multiplicity 4)
Pd1 0.032 0.000 0.690 (multiplicity 4)
Pd2 0.144 0.500 0.935 (multiplicity 4)
Pd3 0.183 0.500 0.582 (multiplicity 4)

It is 2 that is the most stable of them.

--- 1 ---
A plane-wave DFT calculation with PBE was carried out for a relaxed Li2As2Pd3 crystal.

a = 9.548 Å, b = 3.823 Å, c = 6.640 Å
α = 90.00°, β = 108.60°, γ = 90.00°
Space group C2/m (No. 12)
Asymmetric unit:
Li1 0.116 0.000 0.258 (multiplicity 4)
As1 0.165 0.000 0.710 (multiplicity 4)
Pd1 0.000 0.500 0.500 (multiplicity 2)
Pd2 0.130 0.500 0.939 (multiplicity 4)

--- 2 ---
A plane-wave DFT calculation with PBE was carried out for a relaxed Li2As2Pd3 crystal.

a = 4.284 Å, b = 4.337 Å, c = 7.030 Å
α = 107.05°, β = 90.53°, γ = 118.81°
Space group P-1 (No. 2)
Asymmetric unit:
Li1 0.134 0.270 0.403 (multiplicity 2)
As1 0.415 0.837 0.243 (multiplicity 2)
Pd1 0.000 0.000 0.000 (multiplicity 1)
Pd2 0.270 0.536 0.810 (multiplicity 2)

It is 1 that is the most stable of them.

--- 1 ---
A plane-wave DFT calculation with PBE was carried out for a relaxed Li6AsPd8 crystal.

a = 7.0714 Å, b = 7.0714 Å, c = 15.4206 Å
α = 90.00°, β = 90.00°, γ = 120.00°
Space group R-3 (No. 148, hexagonal axes)
Asymmetric unit:
Li1 0.0051 0.7638 0.2136 (multiplicity 18)
As1 0.0000 0.0000 0.5000 (multiplicity 3)
Pd1 0.0000 0.0000 0.0865 (multiplicity 6)
Pd2 0.0495 0.2570 0.6224 (multiplicity 18)

--- 2 ---
A plane-wave DFT calculation with PBE was carried out for a relaxed Li6AsPd8 crystal.

a = 7.4366 Å, b = 7.4366 Å, c = 14.5252 Å
α = 90.00°, β = 90.00°, γ = 120.00°
Space group R-3 (No. 148, hexagonal axes)
Asymmetric unit:
Li1 0.0335 0.7811 0.4025 (multiplicity 18)
As1 0.0000 0.0000 0.0000 (multiplicity 3)
Pd1 0.0000 0.0000 0.2608 (multiplicity 6)
Pd2 0.0242 0.7608 0.8994 (multiplicity 18)

It is 1 that is the most stable of them.

--- 1 ---
A plane-wave DFT calculation with PBE was carried out for a relaxed LiAs2Pd4 crystal.

a = 4.191 Å, b = 4.191 Å, c = 6.253 Å
α = 90.00°, β = 90.00°, γ = 90.00°
Space group P4/mmm (No. 123)
Asymmetric unit:
Li1 0.000 0.000 0.000 (multiplicity 1)
As1 0.000 0.000 0.500 (multiplicity 1)
As2 0.500 0.500 0.000 (multiplicity 1)
Pd1 0.000 0.500 0.259 (multiplicity 4)

--- 2 ---
A plane-wave DFT calculation with PBE was carried out for a relaxed LiAs2Pd4 crystal.

a = 4.287 Å, b = 13.376 Å, c = 4.273 Å
α = 90.00°, β = 90.00°, γ = 90.00°
Space group Cmmm (No. 65)
Asymmetric unit:
Li1 0.000 0.000 0.000 (multiplicity 2)
As1 0.000 0.408 0.500 (multiplicity 4)
Pd1 0.000 0.178 0.500 (multiplicity 4)
Pd2 0.000 0.323 0.000 (multiplicity 4)

It is 1 that is the most stable of them.

--- 1 ---
A plane-wave DFT calculation with PBE was carried out for a relaxed Li3As2Pd4 crystal.

a = 7.474 Å, b = 4.317 Å, c = 8.040 Å
α = 90.00°, β = 90.07°, γ = 90.00°
Space group C2/m (No. 12)
Asymmetric unit:
Li1 0.000 0.000 0.000 (multiplicity 2)
Li2 0.167 0.500 0.445 (multiplicity 4)
As1 0.167 0.500 0.777 (multiplicity 4)
Pd1 0.000 0.000 0.322 (multiplicity 4)
Pd2 0.167 0.500 0.104 (multiplicity 4)

--- 2 ---
A plane-wave DFT calculation with PBE was carried out for a relaxed Li3As2Pd4 crystal.

a = 13.056 Å, b = 4.300 Å, c = 4.918 Å
α = 90.00°, β = 98.97°, γ = 90.00°
Space group C2/m (No. 12)
Asymmetric unit:
Li1 0.000 0.000 0.000 (multiplicity 2)
Li2 0.158 0.000 0.609 (multiplicity 4)
As1 0.130 0.500 0.277 (multiplicity 4)
Pd1 0.065 0.500 0.763 (multiplicity 4)
Pd2 0.210 0.000 0.130 (multiplicity 4)

It is 2 that is the most stable of them.

--- 1 ---
A plane-wave DFT calculation with PBE was carried out for a relaxed Li2AsPd8 crystal.

a = 4.434 Å, b = 5.711 Å, c = 13.367 Å
α = 90.00°, β = 90.00°, γ = 90.00°
Space group Immm (No. 71)
Asymmetric unit:
Li1 0.000 0.000 0.190 (multiplicity 4)
As1 0.000 0.000 0.500 (multiplicity 2)
Pd1 0.000 0.242 0.000 (multiplicity 4)
Pd2 0.000 0.264 0.359 (multiplicity 8)
Pd3 0.000 0.500 0.182 (multiplicity 4)

--- 2 ---
A plane-wave DFT calculation with PBE was carried out for a relaxed Li2AsPd8 crystal.

a = 9.712 Å, b = 8.550 Å, c = 4.700 Å
α = 90.00°, β = 107.61°, γ = 90.00°
Space group C2/m (No. 12)
Asymmetric unit:
Li1 0.154 0.000 0.039 (multiplicity 4)
As1 0.000 0.000 0.500 (multiplicity 2)
Pd1 0.074 0.500 0.796 (multiplicity 4)
Pd2 0.083 0.235 0.300 (multiplicity 8)
Pd3 0.236 0.500 0.385 (multiplicity 4)

It is 1 that is the most stable of them.

--- 1 ---
A plane-wave DFT calculation with PBE was carried out for a relaxed LiAs2Pd5 crystal.

a = 2.965 Å, b = 8.087 Å, c = 10.541 Å
α = 90.00°, β = 90.00°, γ = 90.00°
Space group Immm (No. 71)
Asymmetric unit:
Li1 0.000 0.000 0.000 (multiplicity 2)
As1 0.000 0.500 0.239 (multiplicity 4)
Pd1 0.000 0.247 0.368 (multiplicity 8)
Pd2 0.000 0.500 0.000 (multiplicity 2)

--- 2 ---
A plane-wave DFT calculation with PBE was carried out for a relaxed LiAs2Pd5 crystal.

a = 3.920 Å, b = 7.357 Å, c = 9.587 Å
α = 90.00°, β = 90.00°, γ = 90.00°
Space group Immm (No. 71)
Asymmetric unit:
Li1 0.000 0.000 0.000 (multiplicity 2)
As1 0.000 0.500 0.256 (multiplicity 4)
Pd1 0.000 0.195 0.351 (multiplicity 8)
Pd2 0.000 0.500 0.000 (multiplicity 2)

It is 2 that is the most stable of them.

--- 1 ---
A plane-wave DFT calculation with PBE was carried out for a relaxed Li6AsPd12 crystal.

a = 11.9469 Å, b = 11.9469 Å, c = 6.7729 Å
α = 90.00°, β = 90.00°, γ = 120.00°
Space group R-3 (No. 148, hexagonal axes)
Asymmetric unit:
Li1 0.0333 0.2756 0.3315 (multiplicity 18)
As1 0.0000 0.0000 0.0000 (multiplicity 3)
Pd1 0.0187 0.1438 0.6651 (multiplicity 18)
Pd2 0.0694 0.5653 0.6664 (multiplicity 18)

--- 2 ---
A plane-wave DFT calculation with PBE was carried out for a relaxed Li6AsPd12 crystal.

a = 9.1945 Å, b = 9.1945 Å, c = 11.3414 Å
α = 90.00°, β = 90.00°, γ = 120.00°
Space group R-3 (No. 148, hexagonal axes)
Asymmetric unit:
Li1 0.0145 0.5890 0.2059 (multiplicity 18)
As1 0.0000 0.0000 0.5000 (multiplicity 3)
Pd1 0.0216 0.8365 0.3275 (multiplicity 18)
Pd2 0.0553 0.2048 0.9058 (multiplicity 18)

It is 1 that is the most stable of them.

--- 1 ---
A plane-wave DFT calculation with PBE was carried out for a relaxed SrLiAsPd2 crystal.

a = 4.863 Å, b = 4.863 Å, c = 4.648 Å
α = 90.00°, β = 90.00°, γ = 90.00°
Space group P4/mmm (No. 123)
Asymmetric unit:
Sr1 0.000 0.000 0.000 (multiplicity 1)
Li1 0.500 0.500 0.000 (multiplicity 1)
As1 0.500 0.500 0.500 (multiplicity 1)
Pd1 0.000 0.500 0.500 (multiplicity 2)

--- 2 ---
A plane-wave DFT calculation with PBE was carried out for a relaxed SrLiAsPd2 crystal.

a = 4.465 Å, b = 4.465 Å, c = 5.132 Å
α = 90.00°, β = 90.00°, γ = 90.00°
Space group P4/mmm (No. 123)
Asymmetric unit:
Sr1 0.000 0.000 0.000 (multiplicity 1)
Li1 0.000 0.000 0.500 (multiplicity 1)
As1 0.500 0.500 0.000 (multiplicity 1)
Pd1 0.000 0.500 0.500 (multiplicity 2)

It is 1 that is the most stable of them.

--- 1 ---
A plane-wave DFT calculation with PBE was carried out for a relaxed LiPm2As crystal.

a = 4.914 Å, b = 4.914 Å, c = 3.993 Å
α = 90.00°, β = 90.00°, γ = 90.00°
Space group P4/mmm (No. 123)
Asymmetric unit:
Li1 0.000 0.000 0.000 (multiplicity 1)
Pm1 0.000 0.500 0.500 (multiplicity 2)
As1 0.500 0.500 0.000 (multiplicity 1)

--- 2 ---
A plane-wave DFT calculation with PBE was carried out for a relaxed LiPm2As crystal.

a = 7.243 Å, b = 7.243 Å, c = 7.243 Å
α = 90.00°, β = 90.00°, γ = 90.00°
Space group Fm-3m (No. 225)
Asymmetric unit:
Li1 0.000 0.000 0.000 (multiplicity 4)
Pm1 0.250 0.250 0.250 (multiplicity 8)
As1 0.000 0.000 0.500 (multiplicity 4)

It is 1 that is the most stable of them.

--- 1 ---
A plane-wave DFT calculation with PBE was carried out for a relaxed LiPmAs2 crystal.

a = 3.958 Å, b = 3.958 Å, c = 10.646 Å
α = 90.00°, β = 90.00°, γ = 90.00°
Space group P4/nmm (No. 129, origin choice 2)
Asymmetric unit:
Li1 0.250 0.750 0.000 (multiplicity 2)
Pm1 0.250 0.250 0.271 (multiplicity 2)
As1 0.250 0.250 0.840 (multiplicity 2)
As2 0.250 0.750 0.500 (multiplicity 2)

--- 2 ---
A plane-wave DFT calculation with PBE was carried out for a relaxed LiPmAs2 crystal.

a = 4.592 Å, b = 4.592 Å, c = 4.006 Å
α = 90.00°, β = 90.00°, γ = 90.00°
Space group P4/mmm (No. 123)
Asymmetric unit:
Li1 0.000 0.000 0.000 (multiplicity 1)
Pm1 0.500 0.500 0.000 (multiplicity 1)
As1 0.000 0.500 0.500 (multiplicity 2)

--- 3 ---
A plane-wave DFT calculation with PBE was carried out for a relaxed LiPmAs2 crystal.

a = 7.032 Å, b = 7.032 Å, c = 7.032 Å
α = 90.00°, β = 90.00°, γ = 90.00°
Space group Fm-3m (No. 225)
Asymmetric unit:
Li1 0.000 0.000 0.000 (multiplicity 4)
Pm1 0.000 0.000 0.500 (multiplicity 4)
As1 0.250 0.250 0.250 (multiplicity 8)

It is 1 that is the most stable of them.